YWNF2, relaxed, DFT PBE+U; Fermi-level density of states = 0.13 states/eV/atom; electronic total energy = -6.41 eV/atom; distance to the lowest polymorph of the same formula = 0.000 eV/atom
1.0
4.224 0.000 0.000
0.000 4.224 0.000
0.000 0.000 4.855
Y W N F
1 1 1 2
Direct
0.000 0.000 0.000
0.500 0.500 0.500
0.000 0.000 0.500
0.000 0.500 0.000
0.500 0.000 0.000